PBE LaZr3B, relaxed; symmetry = Pm-3m (221); calculated total energy = -7.397 eV per atom
1.0
4.837 0.000 0.000
0.000 4.837 0.000
0.000 0.000 4.837
La Zr B
1 3 1
direct
0.000 0.000 0.000 La
0.000 0.500 0.500 Zr
0.500 0.000 0.500 Zr
0.500 0.500 0.000 Zr
0.500 0.500 0.500 B

***

PBE CrMo2H, relaxed; symmetry = Fm-3m (225); calculated total energy = -7.960 eV per atom
1.0
5.834 0.000 0.000
0.000 5.834 0.000
0.000 0.000 5.834
Cr Mo H
4 8 4
direct
0.000 0.000 0.000 Cr
0.000 0.500 0.500 Cr
0.500 0.000 0.500 Cr
0.500 0.500 0.000 Cr
0.250 0.250 0.250 Mo
0.250 0.250 0.750 Mo
0.250 0.750 0.250 Mo
0.250 0.750 0.750 Mo
0.750 0.250 0.250 Mo
0.750 0.250 0.750 Mo
0.750 0.750 0.250 Mo
0.750 0.750 0.750 Mo
0.000 0.000 0.500 H
0.000 0.500 0.000 H
0.500 0.000 0.000 H
0.500 0.500 0.500 H

***

PBE CaCdPt2, relaxed; symmetry = P4/mmm (123); calculated total energy = -4.362 eV per atom
1.0
4.376 0.000 0.000
0.000 4.376 0.000
0.000 0.000 3.927
Ca Cd Pt
1 1 2
direct
0.000 0.000 0.000 Ca
0.500 0.500 0.000 Cd
0.000 0.500 0.500 Pt
0.500 0.000 0.500 Pt

***

PBE BeCoCu2, relaxed; symmetry = I-42d (122); calculated total energy = -4.405 eV per atom
1.0
3.296 0.000 0.000
0.000 3.296 0.000
0.000 0.000 16.978
Be Co Cu
4 4 8
direct
0.000 0.000 0.000 Be
0.000 0.500 0.250 Be
0.500 0.000 0.750 Be
0.500 0.500 0.500 Be
0.000 0.000 0.500 Co
0.000 0.500 0.750 Co
0.500 0.000 0.250 Co
0.500 0.500 0.000 Co
0.245 0.250 0.125 Cu
0.250 0.745 0.375 Cu
0.250 0.755 0.875 Cu
0.255 0.250 0.625 Cu
0.745 0.750 0.625 Cu
0.750 0.245 0.875 Cu
0.750 0.255 0.375 Cu
0.755 0.750 0.125 Cu

***

PBE Tb4Cd3, relaxed; symmetry = R-3 (148); calculated total energy = -3.267 eV per atom
1.0
7.120 4.111 2.174
-7.120 4.111 2.174
0.000 -8.222 2.174
Tb Cd
8 6
direct
0.000 0.000 0.000 Tb
0.076 0.632 0.779 Tb
0.221 0.924 0.368 Tb
0.368 0.221 0.924 Tb
0.500 0.500 0.500 Tb
0.632 0.779 0.076 Tb
0.779 0.076 0.632 Tb
0.924 0.368 0.221 Tb
0.138 0.271 0.549 Cd
0.271 0.549 0.138 Cd
0.451 0.862 0.729 Cd
0.549 0.138 0.271 Cd
0.729 0.451 0.862 Cd
0.862 0.729 0.451 Cd

***

PBE Pr2Dy3Y, relaxed; symmetry = C2/m (12); calculated total energy = -4.852 eV per atom
1.0
11.750 -1.761 0.000
11.750 1.761 0.000
-3.267 0.000 9.797
Pr Dy Y
4 6 2
direct
0.068 0.068 0.136 Pr
0.309 0.309 0.630 Pr
0.691 0.691 0.370 Pr
0.932 0.932 0.864 Pr
0.070 0.070 0.764 Dy
0.306 0.306 0.284 Dy
0.441 0.441 0.554 Dy
0.559 0.559 0.446 Dy
0.694 0.694 0.716 Dy
0.930 0.930 0.236 Dy
0.311 0.311 0.964 Y
0.689 0.689 0.036 Y

***

PBE La5Cr3, relaxed; symmetry = Pm (6); calculated total energy = -6.225 eV per atom
1.0
9.012 0.000 0.000
0.000 6.663 0.000
-4.360 0.000 7.903
La Cr
10 6
direct
0.000 0.000 0.000 La
0.003 0.500 0.242 La
0.098 0.248 0.666 La
0.098 0.752 0.666 La
0.427 0.250 0.331 La
0.427 0.750 0.331 La
0.508 0.500 0.992 La
0.516 0.000 0.755 La
0.758 0.500 0.759 La
0.769 0.000 0.250 La
0.161 0.500 0.997 Cr
0.164 0.000 0.402 Cr
0.353 0.000 0.994 Cr
0.355 0.500 0.595 Cr
0.760 0.000 0.596 Cr
0.768 0.500 0.407 Cr

***

PBE LaHf2Nb, relaxed; symmetry = Fm-3m (225); calculated total energy = -8.389 eV per atom
1.0
7.158 0.000 0.000
0.000 7.158 0.000
0.000 0.000 7.158
La Hf Nb
4 8 4
direct
0.000 0.000 0.000 La
0.000 0.500 0.500 La
0.500 0.000 0.500 La
0.500 0.500 0.000 La
0.250 0.250 0.250 Hf
0.250 0.250 0.750 Hf
0.250 0.750 0.250 Hf
0.250 0.750 0.750 Hf
0.750 0.250 0.250 Hf
0.750 0.250 0.750 Hf
0.750 0.750 0.250 Hf
0.750 0.750 0.750 Hf
0.000 0.000 0.500 Nb
0.000 0.500 0.000 Nb
0.500 0.000 0.000 Nb
0.500 0.500 0.500 Nb